Entry 1:
The following is a DFT calculation (PBE) of KTlAg2 after structural relaxation.

Cell lengths 5.2554, 5.2554, 6.7961 Å; angles 78.81, 78.81, 40.85 degrees
With the nearest neighbours (Å) after each atom.
Element x y z (fractional)
K1 0.7500 0.7500 0.7500  6 Ag 3.61-3.62, 2 K 3.67, 4 Tl 3.86
Tl1 0.2500 0.2500 0.2500  6 Ag 2.98-3.01
Ag1 0.5135 0.5135 0.4078  2 Ag 2.88, 3 Tl 2.98-3.01
Ag2 0.9865 0.9865 0.0922  2 Ag 2.88, 3 Tl 2.98-3.01

## Properties
mass density = 6.35 g cm⁻³
formation enthalpy at 0 K = 134 meV per atom
magnetic moment = 0.00 μB per cell
energy = -2.158 eV per atom
energy above the most stable polymorph in this dataset = 125.1 meV per atom



Entry 2:
The following is a DFT calculation (PBE) of SmThTcI after structural relaxation.

Cell lengths 4.1903, 4.1884, 8.3770 Å; angles 90.00, 104.49, 119.98 degrees
With the nearest neighbours (Å) after each atom.
Element x y z (fractional)
Sm1 0.5072 0.1515 0.6740  3 Tc 2.98
Th1 0.0792 0.9376 0.0325  3 Tc 2.67
Tc1 0.3194 0.5576 0.8917  3 Th 2.67, 3 Sm 2.98
I1 0.9720 0.3841 0.3714  3 Sm 3.43, 3 Th 3.64

## Properties
mass density = 8.27 g cm⁻³
magnetic moment = 0.00 μB per cell
energy = -6.428 eV per atom



Entry 3:
The following is a DFT calculation (PBE) of Zr8VSn2 after structural relaxation.

Cell lengths 5.1550, 6.6286, 8.2578 Å; angles 113.66, 108.19, 90.00 degrees
With the nearest neighbours (Å) after each atom.
Element x y z (fractional)
Zr1 0.0000 0.2551 0.0000  8 Zr 3.04-3.38, 2 V 3.08, 2 Sn 3.12
Zr2 0.3672 0.1350 0.7343  1 V 2.59
Zr3 0.8227 0.8225 0.6453  8 Zr 3.04-3.19, 4 Sn 3.22-3.32
Zr4 0.6327 0.4008 0.2655  1 V 2.59
Zr5 0.0000 0.7449 0.0000  8 Zr 3.04-3.38, 2 V 3.08, 2 Sn 3.12
Zr6 0.1773 0.1775 0.3547  8 Zr 3.04-3.19, 4 Sn 3.22-3.32
Sn1 0.1875 0.6875 0.3751  12 Zr 3.10-3.32
V1 0.5000 0.0000 0.0000  4 Zr 2.59
Zr7 0.3673 0.5992 0.7345  1 V 2.59
Sn2 0.8125 0.3125 0.6249  12 Zr 3.10-3.32
Zr8 0.6328 0.8650 0.2657  1 V 2.59

## Properties
mass density = 6.96 g cm⁻³
formation enthalpy at 0 K = -190 meV per atom
magnetic moment = 0.00 μB per cell
energy = -7.964 eV per atom



Entry 4:
The following is a DFT calculation (PBE) of TiCrB3 after structural relaxation.

Cell lengths 2.9932, 3.1025, 9.2676 Å; angles 99.64, 90.00, 90.00 degrees
With the nearest neighbours (Å) after each atom.
Element x y z (fractional)
Cr1 0.7500 0.2059 0.4118  7 B 2.19-2.24
B1 0.2500 0.4759 0.9519  3 B 1.74-1.77
B2 0.2500 0.6720 0.3439  2 B 1.76
B3 0.2500 0.3790 0.7580  3 B 1.76-1.77
B4 0.7500 0.5241 0.0481  3 B 1.74-1.77
Ti1 0.2500 0.0729 0.1457  12 B 2.33-2.38
B5 0.7500 0.6210 0.2420  3 B 1.76-1.77
Cr2 0.2500 0.7941 0.5882  7 B 2.19-2.24
Ti2 0.7500 0.9271 0.8543  12 B 2.33-2.38
B6 0.7500 0.3280 0.6561  2 B 1.76

## Properties
mass density = 5.18 g cm⁻³
formation enthalpy at 0 K = -800 meV per atom
magnetic moment = 0.00 μB per cell
energy = -8.310 eV per atom
energy above the most stable polymorph in this dataset = 0.0 meV per atom



Entry 5:
The following is a DFT calculation (PBE) of CsAg2AsF8 after structural relaxation.

Cell lengths 5.4315, 5.4315, 8.6985 Å; angles 90.00, 90.00, 120.00 degrees
With the nearest neighbours (Å) after each atom.
Element x y z (fractional)
F1 0.1539 0.8461 0.1184  1 As 1.78
F2 0.3333 0.6667 0.5291  1 Ag 2.10
F3 0.8461 0.6921 0.8816  1 As 1.78
Cs1 0.0000 0.0000 0.5000  6 F 3.15
As1 0.0000 0.0000 0.0000  6 F 1.78
F4 0.1539 0.3079 0.1184  1 As 1.78
F5 0.3079 0.1539 0.8816  1 As 1.78
F6 0.6921 0.8461 0.1184  1 As 1.78
F7 0.8461 0.1539 0.8816  1 As 1.78
Ag1 0.3333 0.6667 0.7706  1 F 2.10
Ag2 0.6667 0.3333 0.2294  1 F 2.10
F8 0.6667 0.3333 0.4709  1 Ag 2.10

## Properties
mass density = 4.30 g cm⁻³
magnetic moment = 0.00 μB per cell
energy = -3.964 eV per atom



Entry 6:
The following is a DFT calculation (PBE) of KNaIn2 after structural relaxation.

Cell lengths 3.5742, 3.5742, 11.7771 Å; angles 81.27, 81.27, 60.00 degrees
With the nearest neighbours (Å) after each atom.
Element x y z (fractional)
In1 0.7447 0.7447 0.7658  3 Na 3.41, 6 In 3.57, 3 K 3.71
K1 0.5000 0.5000 0.5000  6 K 3.57, 6 In 3.71
Na1 0.0000 0.0000 0.0000  6 In 3.41, 6 Na 3.57
In2 0.2553 0.2553 0.2342  3 Na 3.41, 6 In 3.57, 3 K 3.71

## Properties
mass density = 3.78 g cm⁻³
formation enthalpy at 0 K = 46 meV per atom
magnetic moment = 0.00 μB per cell
energy = -1.927 eV per atom
energy above the most stable polymorph in this dataset = 146.1 meV per atom



Entry 7:
The following is a DFT calculation (PBE) of Mg2ScIn after structural relaxation.

Cell lengths 4.2354, 4.5097, 4.6454 Å; angles 90.00, 90.00, 90.00 degrees
With the nearest neighbours (Å) after each atom.
Element x y z (fractional)
Mg1 0.0000 0.0000 0.0000  4 Mg 3.09, 4 Sc 3.14, 4 In 3.24
Sc1 0.5000 0.0000 0.5000  4 In 3.09, 8 Mg 3.14-3.24
Mg2 0.5000 0.5000 0.0000  4 Mg 3.09, 4 In 3.14, 4 Sc 3.24
In1 0.0000 0.5000 0.5000  4 Sc 3.09, 8 Mg 3.14-3.24

## Properties
mass density = 3.90 g cm⁻³
formation enthalpy at 0 K = -251 meV per atom
magnetic moment = 0.00 μB per cell
energy = -3.316 eV per atom



Entry 8:
The following is a DFT calculation (PBE) of La3InNiS7 after structural relaxation.

Cell lengths 10.0918, 10.0918, 6.4309 Å; angles 90.00, 90.00, 120.00 degrees
With the nearest neighbours (Å) after each atom.
Element x y z (fractional)
S1 0.8748 0.7826 0.2193  2 Ni 2.45-2.54
S2 0.5645 0.0795 0.5509  1 In 2.48
S3 0.9205 0.4850 0.5509  1 In 2.48
Ni1 0.0000 0.0000 0.9804  6 S 2.45-2.54
S4 0.3333 0.6667 0.5063  1 In 2.43
La1 0.2192 0.3724 0.3130  7 S 2.88-3.12
S5 0.7826 0.9077 0.7193  2 Ni 2.45-2.54
La2 0.6276 0.8469 0.3130  7 S 2.88-3.12
S6 0.5150 0.4355 0.5509  1 In 2.48
S7 0.4850 0.5645 0.0509  1 In 2.48
La3 0.8469 0.2192 0.8130  7 S 2.88-3.12
S8 0.1252 0.2174 0.7193  2 Ni 2.45-2.54
Ni2 0.0000 0.0000 0.4804  6 S 2.45-2.54
S9 0.0795 0.5150 0.0509  1 In 2.48
S10 0.4355 0.9205 0.0509  1 In 2.48
La4 0.3724 0.1531 0.8130  7 S 2.88-3.12
In1 0.3333 0.6667 0.8835  4 S 2.43-2.48
In2 0.6667 0.3333 0.3835  4 S 2.43-2.48
S11 0.9077 0.1252 0.2193  2 Ni 2.45-2.54
S12 0.6667 0.3333 0.0063  1 In 2.43
La5 0.7808 0.6276 0.8130  7 S 2.88-3.12
La6 0.1531 0.7808 0.3130  7 S 2.88-3.12
S13 0.0923 0.8748 0.7193  2 Ni 2.45-2.54
S14 0.2174 0.0923 0.2193  2 Ni 2.45-2.54

## Properties
mass density = 4.77 g cm⁻³
magnetic moment = 4.01 μB per cell
energy = -5.863 eV per atom